Entry 1:
TmThAl2Hg4 | PBE | relaxed

Properties
- Spin magnetization: 0.0000 μB per atom
- Formation energy from the elements: -0.16 eV/atom
- Space-group type: P4/mmm

The structure in POSCAR format:
```
TmThAl2Hg4
1.0
-3.628 -2.048 -1.345
2.272 -1.913 -3.217
2.163 -7.932 6.245
Hg Al Tm Th
4 2 1 1
Cartesian
-0.111 -7.269 4.245
1.596 -2.644 -0.280
-1.354 -2.711 0.656
2.839 -7.202 3.309
0.665 -6.907 1.598
0.141 -4.986 0.086
0.000 0.000 0.000
1.082 -3.966 3.123
```

=====

Entry 2:
BeMoPIr | PBE | relaxed

Properties
- Energy relative to the lowest polymorph listed for this composition: 242.2 meV/atom
- Spin magnetization: 0.0000 μB per atom
- Formation energy from the elements: -0.23 eV/atom
- Space-group type: Cm

The structure in POSCAR format:
```
BeMoPIr
1.0
-3.244 -2.436 2.244
2.060 -1.926 0.887
3.422 5.922 4.907
Ir Be Mo P
2 2 2 2
Cartesian
2.286 2.484 5.008
-0.455 0.486 2.110
-1.817 -1.341 1.308
0.924 0.657 4.205
-0.899 -1.276 4.244
-0.219 2.648 6.253
-1.291 0.918 4.989
-1.972 -3.005 2.979
```